Entry 1:
{"formula": "Hf4TlCuC2", "functional": "PBE", "state": "relaxed", "density_g_cm3": 12.475, "sg": "P-6m2, No. 187", "magmom_total_mub_per_atom": 0.000, "lattice": [[3.2984, 0.0000, 0.0000], [-1.6492, 2.8565, 0.0000], [0.0000, 0.0000, 14.2107]], "species": ["Hf", "Hf", "Hf", "Hf", "Tl", "Cu", "C", "C"], "fractional_positions": [[0.0000, 0.0000, 0.1458], [0.0000, 0.0000, 0.8542], [0.6667, 0.3333, 0.3230], [0.6667, 0.3333, 0.6770], [0.0000, 0.0000, 0.5000], [0.6667, 0.3333, 0.0000], [0.3333, 0.6667, 0.2380], [0.3333, 0.6667, 0.7620]]}


Entry 2:
{"formula": "Li2Sc2CuSn2Pd", "functional": "PBE", "state": "relaxed", "density_g_cm3": 6.230, "sg": "P-4m2, No. 115", "magmom_total_mub_per_atom": 0.001, "lattice": [[4.5884, 0.0000, 0.0000], [0.0000, 4.5884, 0.0000], [0.0000, 0.0000, 6.4711]], "species": ["Li", "Li", "Sc", "Sc", "Cu", "Sn", "Sn", "Pd"], "fractional_positions": [[0.0000, 0.0000, 0.0000], [0.5000, 0.5000, 0.5000], [0.0000, 0.5000, 0.7475], [0.5000, 0.0000, 0.2525], [0.0000, 0.0000, 0.5000], [0.0000, 0.5000, 0.2565], [0.5000, 0.0000, 0.7435], [0.5000, 0.5000, 0.0000]]}


Entry 3:
{"formula": "Li2CdCo", "functional": "PBE", "state": "relaxed", "density_g_cm3": 5.232, "sg": "F-43m, No. 216", "magmom_total_mub_per_atom": 0.193, "lattice": [[6.1723, 0.0000, 0.0000], [0.0000, 6.1723, 0.0000], [0.0000, 0.0000, 6.1723]], "species": ["Li", "Li", "Li", "Li", "Li", "Li", "Li", "Li", "Cd", "Cd", "Cd", "Cd", "Co", "Co", "Co", "Co"], "fractional_positions": [[0.0000, 0.0000, 0.0000], [0.0000, 0.5000, 0.5000], [0.2500, 0.2500, 0.2500], [0.2500, 0.7500, 0.7500], [0.5000, 0.0000, 0.5000], [0.5000, 0.5000, 0.0000], [0.7500, 0.2500, 0.7500], [0.7500, 0.7500, 0.2500], [0.0000, 0.0000, 0.5000], [0.0000, 0.5000, 0.0000], [0.5000, 0.0000, 0.0000], [0.5000, 0.5000, 0.5000], [0.2500, 0.2500, 0.7500], [0.2500, 0.7500, 0.2500], [0.7500, 0.2500, 0.2500], [0.7500, 0.7500, 0.7500]]}


Entry 4:
{"formula": "DyCoCuGe2", "functional": "PBE", "state": "relaxed", "density_g_cm3": 8.674, "sg": "I-4m2, No. 119", "magmom_total_mub_per_atom": 0.130, "lattice": [[4.0597, 0.0000, 0.0000], [0.0000, 4.0597, 0.0000], [0.0000, 0.0000, 9.9957]], "species": ["Dy", "Dy", "Co", "Co", "Cu", "Cu", "Ge", "Ge", "Ge", "Ge"], "fractional_positions": [[0.0000, 0.0000, 0.0000], [0.5000, 0.5000, 0.5000], [0.0000, 0.5000, 0.2500], [0.5000, 0.0000, 0.7500], [0.0000, 0.5000, 0.7500], [0.5000, 0.0000, 0.2500], [0.0000, 0.0000, 0.3744], [0.0000, 0.0000, 0.6256], [0.5000, 0.5000, 0.1256], [0.5000, 0.5000, 0.8744]]}


Entry 5:
{"formula": "NaAgSb", "functional": "PBE", "state": "relaxed", "density_g_cm3": 5.887, "sg": "P-6m2, No. 187", "lattice": [[4.8653, 0.0000, 0.0000], [-2.4327, 4.2135, 0.0000], [0.0000, 0.0000, 3.4761]], "species": ["Na", "Ag", "Sb"], "fractional_positions": [[0.0000, 0.0000, 0.0000], [0.6667, 0.3333, 0.5000], [0.3333, 0.6667, 0.5000]]}


Entry 6:
{"formula": "Zr2Co3W4C3", "functional": "PBE", "state": "relaxed", "density_g_cm3": 11.966, "sg": "C2/c, No. 15", "magmom_total_mub_per_atom": 0.008, "lattice": [[4.5749, -2.6339, 0.0000], [4.5749, 2.6339, 0.0000], [-3.1396, 0.0000, 13.0217]], "species": ["Zr", "Zr", "Zr", "Zr", "Co", "Co", "Co", "Co", "Co", "Co", "W", "W", "W", "W", "W", "W", "W", "W", "C", "C", "C", "C", "C", "C"], "fractional_positions": [[0.0430, 0.8769, 0.6239], [0.1231, 0.9570, 0.8761], [0.8769, 0.0430, 0.1239], [0.9570, 0.1231, 0.3761], [0.0869, 0.3993, 0.7513], [0.3993, 0.0869, 0.2513], [0.4265, 0.5735, 0.2500], [0.5735, 0.4265, 0.7500], [0.6007, 0.9131, 0.7487], [0.9131, 0.6007, 0.2487], [0.1944, 0.3555, 0.0880], [0.2949, 0.4809, 0.4118], [0.3555, 0.1944, 0.5880], [0.4809, 0.2949, 0.9118], [0.5191, 0.7051, 0.0882], [0.6445, 0.8056, 0.4120], [0.7051, 0.5191, 0.5882], [0.8056, 0.6445, 0.9120], [0.0000, 0.5000, 0.5000], [0.1643, 0.6715, 0.0001], [0.3285, 0.8357, 0.4999], [0.5000, 0.0000, 0.0000], [0.6715, 0.1643, 0.5001], [0.8357, 0.3285, 0.9999]]}


Entry 7:
{"formula": "Tb2YAl3AgIr2", "functional": "PBE", "state": "relaxed", "density_g_cm3": 9.070, "sg": "Amm2, No. 38", "magmom_total_mub_per_atom": 0.001, "lattice": [[4.1467, 0.0000, 0.0000], [0.0000, 6.1386, 3.5242], [0.0000, -6.1386, 3.5242]], "species": ["Tb", "Tb", "Y", "Al", "Al", "Al", "Ag", "Ir", "Ir"], "fractional_positions": [[0.0000, 0.2107, 0.7893], [0.0000, 0.7893, 0.2107], [0.0000, 0.6318, 0.6318], [0.5000, 0.2130, 0.4642], [0.5000, 0.4642, 0.2130], [0.5000, 0.9559, 0.9559], [0.0000, 0.2095, 0.2095], [0.5000, 0.5435, 0.8802], [0.5000, 0.8802, 0.5435]]}


Entry 8:
{"formula": "ThAlNi", "functional": "PBE", "state": "relaxed", "density_g_cm3": 8.113, "sg": "F-43m, No. 216", "magmom_total_mub_per_atom": 0.000, "lattice": [[6.3834, 0.0000, 0.0000], [0.0000, 6.3834, 0.0000], [0.0000, 0.0000, 6.3834]], "species": ["Th", "Th", "Th", "Th", "Al", "Al", "Al", "Al", "Ni", "Ni", "Ni", "Ni"], "fractional_positions": [[0.0000, 0.0000, 0.0000], [0.0000, 0.5000, 0.5000], [0.5000, 0.0000, 0.5000], [0.5000, 0.5000, 0.0000], [0.0000, 0.0000, 0.5000], [0.0000, 0.5000, 0.0000], [0.5000, 0.0000, 0.0000], [0.5000, 0.5000, 0.5000], [0.2500, 0.2500, 0.2500], [0.2500, 0.7500, 0.7500], [0.7500, 0.2500, 0.7500], [0.7500, 0.7500, 0.2500]]}


Entry 9:
{"formula": "LuGaPO", "functional": "PBE", "state": "relaxed", "density_g_cm3": 6.727, "sg": "P4/nmm, No. 129", "magmom_total_mub_per_atom": 0.089, "lattice": [[4.4910, 0.0000, 0.0000], [0.0000, 4.4910, 0.0000], [0.0000, 0.0000, 7.1386]], "species": ["Lu", "Lu", "Ga", "Ga", "P", "P", "O", "O"], "fractional_positions": [[0.2500, 0.7500, 0.0000], [0.7500, 0.2500, 0.0000], [0.2500, 0.2500, 0.4704], [0.7500, 0.7500, 0.5296], [0.2500, 0.2500, 0.8119], [0.7500, 0.7500, 0.1881], [0.2500, 0.7500, 0.5000], [0.7500, 0.2500, 0.5000]]}


Entry 10:
{"formula": "Zn2Sn2Sb3As", "functional": "PBE", "state": "relaxed", "density_g_cm3": 5.472, "sg": "C2, No. 5", "lattice": [[14.0014, 0.0000, 0.0000], [0.0000, 6.2546, 0.0000], [-2.7868, 0.0000, 5.6033]], "species": ["Zn", "Zn", "Zn", "Zn", "Sn", "Sn", "Sn", "Sn", "Sb", "Sb", "Sb", "Sb", "Sb", "Sb", "As", "As"], "fractional_positions": [[0.1199, 0.0000, 0.3562], [0.3801, 0.5000, 0.6438], [0.6199, 0.5000, 0.3562], [0.8801, 0.0000, 0.6438], [0.1212, 0.5252, 0.8825], [0.3788, 0.0252, 0.1175], [0.6212, 0.0252, 0.8825], [0.8788, 0.5252, 0.1175], [0.0000, 0.2380, 0.5000], [0.2498, 0.2623, 0.2785], [0.2502, 0.7623, 0.7215], [0.5000, 0.7380, 0.5000], [0.7502, 0.2623, 0.7215], [0.7498, 0.7623, 0.2785], [0.0000, 0.7874, 0.0000], [0.5000, 0.2874, 0.0000]]}


Entry 11:
{"formula": "Cu7Ag", "functional": "PBE", "state": "relaxed", "density_g_cm3": 9.137, "sg": "P4/mmm, No. 123", "e_form_ev_per_atom": 0.043, "lattice": [[2.6472, 0.0000, 0.0000], [0.0000, 2.6472, 0.0000], [0.0000, 0.0000, 14.3334]], "species": ["Cu", "Cu", "Cu", "Cu", "Cu", "Cu", "Cu", "Ag"], "fractional_positions": [[0.0000, 0.0000, 0.0000], [0.0000, 0.0000, 0.2389], [0.0000, 0.0000, 0.7611], [0.5000, 0.5000, 0.1194], [0.5000, 0.5000, 0.3578], [0.5000, 0.5000, 0.6422], [0.5000, 0.5000, 0.8806], [0.0000, 0.0000, 0.5000]]}


Entry 12:
{"formula": "Nd2C5O13", "functional": "PBE", "state": "relaxed", "density_g_cm3": 3.430, "sg": "P-1, No. 2", "magmom_total_mub_per_atom": 0.050, "lattice": [[5.5482, 0.0000, 0.0000], [-2.4449, 8.2443, 0.0000], [-2.6188, -3.3473, 11.7792]], "species": ["Nd", "Nd", "Nd", "Nd", "C", "C", "C", "C", "C", "C", "C", "C", "C", "C", "O", "O", "O", "O", "O", "O", "O", "O", "O", "O", "O", "O", "O", "O", "O", "O", "O", "O", "O", "O", "O", "O", "O", "O", "O", "O"], "fractional_positions": [[0.1663, 0.1877, 0.2860], [0.2496, 0.5987, 0.9227], [0.7504, 0.4013, 0.0773], [0.8337, 0.8123, 0.7140], [0.0350, 0.2085, 0.7511], [0.0700, 0.8145, 0.1456], [0.3256, 0.4273, 0.1581], [0.3487, 0.3561, 0.5631], [0.3941, 0.0082, 0.9519], [0.6059, 0.9918, 0.0481], [0.6513, 0.6439, 0.4369], [0.6744, 0.5727, 0.8419], [0.9300, 0.1855, 0.8544], [0.9650, 0.7915, 0.2489], [0.0047, 0.0725, 0.6794], [0.0341, 0.6815, 0.0690], [0.1396, 0.3552, 0.7452], [0.1500, 0.4418, 0.2082], [0.1624, 0.7042, 0.6479], [0.1850, 0.9624, 0.1440], [0.2189, 0.8704, 0.8875], [0.2317, 0.2150, 0.5115], [0.3773, 0.8219, 0.6448], [0.4012, 0.5188, 0.0938], [0.4060, 0.1523, 0.9427], [0.4299, 0.3132, 0.1737], [0.4729, 0.4987, 0.6057], [0.5271, 0.5013, 0.3943], [0.5701, 0.6868, 0.8263], [0.5940, 0.8477, 0.0573], [0.5988, 0.4812, 0.9062], [0.6227, 0.1781, 0.3552], [0.7683, 0.7850, 0.4885], [0.7811, 0.1296, 0.1125], [0.8150, 0.0376, 0.8560], [0.8376, 0.2958, 0.3521], [0.8500, 0.5582, 0.7918], [0.8604, 0.6448, 0.2548], [0.9659, 0.3185, 0.9310], [0.9953, 0.9275, 0.3206]]}


The evaluated calculated total energy for the records listed, in turn: -68.55, -38.05, -45.09, -54.34, -9.02, -240.56, -53.88, -72.10, -41.22, -56.52, -28.50, -306.51 eV per cell.